{"formula": "KRb2HfCl6", "functional": "PBE", "state": "relaxed", "sg": "R-3m (166)", "final_energy_ev_per_atom": -4.221, "magmom_total_mub_per_cell": 2.02, "raw_formation_energy_ev_per_fu": -18.1, "lattice_angstrom": [[-2.508, -0.162, -7.006], [1.483, -5.855, -4.349], [-12.787, -8.581, 0.822]], "species": ["K", "K", "Rb", "Rb", "Rb", "Rb", "Hf", "Hf", "Cl", "Cl", "Cl", "Cl", "Cl", "Cl", "Cl", "Cl", "Cl", "Cl", "Cl", "Cl"], "frac_coords": [[0.585, 0.585, 0.244], [0.415, 0.415, 0.756], [0.858, 0.858, 0.427], [0.142, 0.142, 0.573], [0.691, 0.691, 0.926], [0.309, 0.309, 0.074], [0.000, 0.000, 0.000], [0.500, 0.500, 0.500], [0.854, 0.372, 0.402], [0.372, 0.854, 0.402], [0.372, 0.372, 0.402], [0.146, 0.628, 0.598], [0.628, 0.146, 0.598], [0.628, 0.628, 0.598], [0.714, 0.193, 0.901], [0.193, 0.714, 0.901], [0.193, 0.193, 0.901], [0.286, 0.807, 0.099], [0.807, 0.286, 0.099], [0.807, 0.807, 0.099]]}



{"formula": "KIF4", "functional": "PBE", "state": "relaxed", "sg": "C2/c (15)", "final_energy_ev_per_atom": -3.649, "magmom_total_mub_per_cell": 0.00, "raw_formation_energy_ev_per_fu": -11.8, "lattice_angstrom": [[4.600, 0.000, 0.000], [-2.300, 6.237, -1.483], [0.000, -0.115, 9.006]], "species": ["K", "K", "I", "I", "F", "F", "F", "F", "F", "F", "F", "F"], "frac_coords": [[0.096, 0.000, 0.250], [0.904, 0.000, 0.750], [0.500, 0.500, 0.000], [0.000, 0.500, 0.500], [0.435, 0.736, 0.171], [0.699, 0.264, 0.329], [0.565, 0.264, 0.829], [0.301, 0.736, 0.671], [0.881, 0.741, 0.445], [0.140, 0.259, 0.055], [0.119, 0.259, 0.555], [0.860, 0.741, 0.945]]}